1.
NaAgMoPb2 | PBE | relaxed

Cell lengths 5.4793, 5.4793, 5.4355 Å; angles 90.00, 90.00, 90.00 degrees
Space group P4/mmm (No. 123)
One atom of each set of equivalent atoms:
Na1 0.0000 0.0000 0.0000 (multiplicity 1)
Ag1 0.5000 0.5000 0.5000 (multiplicity 1)
Mo1 0.5000 0.5000 0.0000 (multiplicity 1)
Pb1 0.0000 0.5000 0.5000 (multiplicity 2)

final energy = -3.49 eV per atom
D(E_F) = 0.66 states/eV per atom
magnetic moment = 4.46 Bohr magnetons per cell


2.
NaAgMoS2 | PBE | relaxed

Cell lengths 4.8904, 4.8904, 4.9322 Å; angles 90.00, 90.00, 90.00 degrees
Space group P4/mmm (No. 123)
One atom of each set of equivalent atoms:
Na1 0.0000 0.0000 0.0000 (multiplicity 1)
Ag1 0.5000 0.5000 0.5000 (multiplicity 1)
Mo1 0.0000 0.0000 0.5000 (multiplicity 1)
S1 0.0000 0.5000 0.0000 (multiplicity 2)

final energy = -3.28 eV per atom
D(E_F) = 0.82 states/eV per atom
magnetic moment = 4.13 Bohr magnetons per cell


3.
NaAgMoS4 | PBE | relaxed

Cell lengths 7.8724, 11.7031, 7.7451 Å; angles 90.00, 90.00, 90.00 degrees
Space group Cmcm (No. 63)
One atom of each set of equivalent atoms:
Na1 0.0000 0.0000 0.0000 (multiplicity 4)
Ag1 0.0000 0.3820 0.2500 (multiplicity 4)
Mo1 0.0000 0.3624 0.7500 (multiplicity 4)
S1 0.0000 0.2545 0.5184 (multiplicity 8)
S2 0.2364 0.4692 0.7500 (multiplicity 8)

final energy = -5.03 eV per atom
magnetic moment = 0.00 Bohr magnetons per cell


4.
NaAg2SbMo | PBE | relaxed

Cell lengths 4.7697, 4.7697, 5.2579 Å; angles 90.00, 90.00, 90.00 degrees
Space group P4/mmm (No. 123)
One atom of each set of equivalent atoms:
Na1 0.0000 0.0000 0.0000 (multiplicity 1)
Ag1 0.0000 0.5000 0.0000 (multiplicity 2)
Sb1 0.5000 0.5000 0.5000 (multiplicity 1)
Mo1 0.0000 0.0000 0.5000 (multiplicity 1)

final energy = -3.07 eV per atom
D(E_F) = 0.52 states/eV per atom
magnetic moment = 3.60 Bohr magnetons per cell


5.
Na3Ag2MoSe6 | PBE | relaxed

Cell lengths 6.8476, 12.4042, 6.9083 Å; angles 90.00, 106.97, 90.00 degrees
Space group C2/m (No. 12)
One atom of each set of equivalent atoms:
Na1 0.0000 0.0000 0.0000 (multiplicity 2)
Na2 0.0000 0.3113 0.0000 (multiplicity 4)
Ag1 0.0000 0.1662 0.5000 (multiplicity 4)
Mo1 0.0000 0.5000 0.5000 (multiplicity 2)
Se1 0.2069 0.5000 0.2668 (multiplicity 4)
Se2 0.2370 0.3474 0.7064 (multiplicity 8)

final energy = -3.89 eV per atom
D(E_F) = 0.37 states/eV per atom
magnetic moment = 0.00 Bohr magnetons per cell


6.
NaAg2TeMo | PBE | relaxed

Cell lengths 5.3689, 5.3689, 5.6284 Å; angles 90.00, 90.00, 90.00 degrees
Space group P4/mmm (No. 123)
One atom of each set of equivalent atoms:
Na1 0.0000 0.0000 0.0000 (multiplicity 1)
Ag1 0.0000 0.5000 0.5000 (multiplicity 2)
Te1 0.0000 0.0000 0.5000 (multiplicity 1)
Mo1 0.5000 0.5000 0.0000 (multiplicity 1)

final energy = -3.14 eV per atom
D(E_F) = 0.40 states/eV per atom
magnetic moment = 5.09 Bohr magnetons per cell


7.
Nb2AgMo | PBE | relaxed

Cell lengths 6.5507, 6.5507, 6.5507 Å; angles 90.00, 90.00, 90.00 degrees
Space group Fm-3m (No. 225)
One atom of each set of equivalent atoms:
Nb1 0.2500 0.2500 0.2500 (multiplicity 8)
Ag1 0.0000 0.0000 0.0000 (multiplicity 4)
Mo1 0.0000 0.0000 0.5000 (multiplicity 4)

final energy = -8.20 eV per atom
D(E_F) = 1.23 states/eV per atom
magnetic moment = 0.00 Bohr magnetons per cell
energy above the lowest structure with this stoichiometry = 0.113 eV per atom


8.
Nb3AgMo | PBE | relaxed

Cell lengths 4.8262, 4.8262, 4.8262 Å; angles 90.00, 90.00, 90.00 degrees
Space group Pm-3m (No. 221)
One atom of each set of equivalent atoms:
Nb1 0.0000 0.0000 0.5000 (multiplicity 3)
Ag1 0.5000 0.5000 0.5000 (multiplicity 1)
Mo1 0.0000 0.0000 0.0000 (multiplicity 1)

final energy = -7.52 eV per atom
D(E_F) = 1.38 states/eV per atom
magnetic moment = 0.00 Bohr magnetons per cell
energy above the lowest structure with this stoichiometry = 0.000 eV per atom


9.
Nb2AgMo | PBE | relaxed

Cell lengths 7.3204, 7.3204, 5.6082 Å; angles 90.00, 90.00, 90.00 degrees
Space group I-42d (No. 122)
One atom of each set of equivalent atoms:
Nb1 0.2336 0.2500 0.1250 (multiplicity 8)
Ag1 0.0000 0.0000 0.5000 (multiplicity 4)
Mo1 0.0000 0.0000 0.0000 (multiplicity 4)

final energy = -7.72 eV per atom
D(E_F) = 0.89 states/eV per atom
magnetic moment = 0.00 Bohr magnetons per cell
energy above the lowest structure with this stoichiometry = 0.592 eV per atom


10.
NbAgMo3 | PBE | relaxed

Cell lengths 4.7454, 4.7454, 4.7454 Å; angles 90.00, 90.00, 90.00 degrees
Space group Pm-3m (No. 221)
One atom of each set of equivalent atoms:
Nb1 0.0000 0.0000 0.0000 (multiplicity 1)
Ag1 0.5000 0.5000 0.5000 (multiplicity 1)
Mo1 0.0000 0.0000 0.5000 (multiplicity 3)

final energy = -7.26 eV per atom
D(E_F) = 0.77 states/eV per atom
magnetic moment = 0.00 Bohr magnetons per cell
energy above the lowest structure with this stoichiometry = 0.000 eV per atom


11.
NbAg2Mo | PBE | relaxed

Cell lengths 7.5759, 7.5759, 5.2173 Å; angles 90.00, 90.00, 90.00 degrees
Space group I-42d (No. 122)
One atom of each set of equivalent atoms:
Nb1 0.0000 0.0000 0.0000 (multiplicity 4)
Ag1 0.2426 0.2500 0.6250 (multiplicity 8)
Mo1 0.0000 0.0000 0.5000 (multiplicity 4)

final energy = -5.74 eV per atom
D(E_F) = 0.75 states/eV per atom
magnetic moment = 0.00 Bohr magnetons per cell
energy above the lowest structure with this stoichiometry = 0.162 eV per atom


12.
NbAgMo2 | PBE | relaxed

Cell lengths 3.8568, 3.8568, 19.5934 Å; angles 90.00, 90.00, 90.00 degrees
Space group I-42d (No. 122)
One atom of each set of equivalent atoms:
Nb1 0.0000 0.0000 0.0000 (multiplicity 4)
Ag1 0.0000 0.0000 0.5000 (multiplicity 4)
Mo1 0.2285 0.2500 0.1250 (multiplicity 8)

final energy = -7.78 eV per atom
D(E_F) = 1.12 states/eV per atom
magnetic moment = 0.00 Bohr magnetons per cell
energy above the lowest structure with this stoichiometry = 0.353 eV per atom